Material: NiAg2F4
Method: DFT, GGA+U
State: optimized geometry

Calculated values
M_tot: 2.00 μB/f.u.
E: -3.744 eV per atom

a b c (Å): 3.122 6.083 10.289
angles (deg): 90.00 90.00 90.00
Each line ends with the local moment (μB).
Atoms (fractional coordinates):
Ag 0.500 0.052 0.166  0.00
Ag 0.500 0.948 0.834  0.00
Ag 0.500 0.448 0.666  0.00
Ag 0.500 0.552 0.334  0.00
F 0.500 0.206 0.453  0.05
F 0.500 0.706 0.047  0.05
F 0.000 0.369 0.179  0.03
F 0.000 0.131 0.679  0.03
F 0.000 0.631 0.821  0.03
F 0.500 0.794 0.547  0.05
F 0.500 0.294 0.953  0.05
F 0.000 0.869 0.321  0.03
Ni 0.000 0.000 0.500  1.82
Ni 0.000 0.500 0.000  1.82